# 1
Compound: BeReGe2Mo
Source: Alexandria via LeMat-Bulk
Functional: GGA-PBE
Structure: relaxed Values from VASP.

The structure in Quantum ESPRESSO input format:
```
&SYSTEM
  ibrav = 0, nat = 5, ntyp = 4
/
ATOMIC_SPECIES
Be 9.01 Be.upf
Re 186.21 Re.upf
Ge 72.64 Ge.upf
Mo 95.94 Mo.upf
ATOMIC_POSITIONS angstrom
Be 0.000 0.000 0.000
Re 2.396 2.396 0.000
Ge 0.000 2.396 2.432
Ge 2.396 0.000 2.432
Mo 2.396 2.396 2.432
CELL_PARAMETERS angstrom
4.792 0.000 0.000
0.000 4.792 0.000
0.000 0.000 4.864
```

Electronic total energy: -5.702 eV/atom
Energy of formation: 149.18 kJ/mol of atoms

---

# 2
Compound: Rb3PN4
Source: Alexandria via LeMat-Bulk
Functional: GGA-PBE
Structure: relaxed Values from VASP.

The structure in Quantum ESPRESSO input format:
```
&SYSTEM
  ibrav = 0, nat = 8, ntyp = 3
/
ATOMIC_SPECIES
Rb 85.47 Rb.upf
P 30.97 P.upf
N 14.01 N.upf
ATOMIC_POSITIONS angstrom
Rb 0.000 0.000 0.000
Rb 0.529 0.075 3.706
Rb 7.068 0.075 1.116
P 3.799 0.323 2.411
N 2.575 0.920 1.618
N 5.022 0.920 3.204
N 3.444 -1.378 2.958
N 4.153 -1.378 1.864
CELL_PARAMETERS angstrom
5.319 -3.479 0.000
5.319 3.479 0.000
-3.040 0.000 4.822
```

Electronic total energy: -5.200 eV/atom
Uncorrected formation energy: 1 meV per atom

---

# 3
Compound: PmSn2Rh4
Source: Alexandria via LeMat-Bulk
Functional: GGA-PBE
Structure: relaxed Values from VASP.

The structure in Quantum ESPRESSO input format:
```
&SYSTEM
  ibrav = 0, nat = 7, ntyp = 3
/
ATOMIC_SPECIES
Pm 145.00 Pm.upf
Sn 118.71 Sn.upf
Rh 102.91 Rh.upf
ATOMIC_POSITIONS angstrom
Pm 0.000 0.000 0.000
Sn 0.000 0.000 5.596
Sn 0.000 0.000 17.778
Rh 0.000 0.000 2.961
Rh 0.000 0.000 9.060
Rh 0.000 0.000 14.313
Rh 0.000 0.000 20.412
CELL_PARAMETERS angstrom
2.238 1.292 7.791
-2.238 1.292 7.791
0.000 -2.585 7.791
```

Energy above the lowest structure with this stoichiometry: 75 meV per atom
Electronic total energy: -6.462 eV/atom
Energy of formation: -42.38 kJ/mol of atoms

---

# 4
Compound: SbPdW3
Source: Alexandria via LeMat-Bulk
Functional: GGA-PBE
Structure: relaxed Values from VASP.

The structure in Quantum ESPRESSO input format:
```
&SYSTEM
  ibrav = 0, nat = 5, ntyp = 3
/
ATOMIC_SPECIES
Sb 121.76 Sb.upf
Pd 106.42 Pd.upf
W 183.84 W.upf
ATOMIC_POSITIONS angstrom
Sb 0.000 0.000 0.000
Pd 2.389 2.389 2.389
W 0.000 2.389 2.389
W 2.389 0.000 2.389
W 2.389 2.389 0.000
CELL_PARAMETERS angstrom
4.779 0.000 0.000
0.000 4.779 0.000
0.000 0.000 4.779
```

Energy above the lowest structure with this stoichiometry: 0 meV per atom
Electronic total energy: -7.479 eV/atom
Uncorrected formation energy: 2156 meV per atom

---

Number 1: spin magnetization 1.1 Bohr magnetons per cell. Number 2: spin magnetization 0.0 Bohr magnetons per cell. Number 3: spin magnetization 0.0 Bohr magnetons per cell. Number 4: spin magnetization 0.0 Bohr magnetons per cell.